Fe5Co3, optimized geometry, DFT GGA-PBEsol; calculated total energy = -8.48 eV per atom; total magnetic moment = 17.9 Bohr magnetons per cell; excess energy over the best structure of this formula in the dataset = 0.036 eV/atom; energy of formation from the pure elements = 0.18 eV/f.u.
1.0
3.948 0.000 0.000
0.000 3.948 0.000
-1.974 -1.974 5.608
Co Fe
3 5
Direct
0.000 0.000 0.000 Co
0.626 0.126 0.252 Co
0.874 0.374 0.748 Co
0.250 0.250 0.500 Fe
0.500 0.500 0.000 Fe
0.124 0.624 0.247 Fe
0.750 0.750 0.500 Fe
0.376 0.876 0.753 Fe